# Pm2PrPt2 (PBE-GGA, optimized geometry)
# Formation energy: -928.2 meV/atom
# Energy above the lowest structure with this stoichiometry: 0 meV/atom
data_Pm2PrPt2
_space_group_name_H-M_alt 'P 1'
_space_group_IT_number 1
_cell_length_a 8.016
_cell_length_b 8.016
_cell_length_c 4.019
_cell_angle_alpha 90.00
_cell_angle_beta 90.00
_cell_angle_gamma 90.00
loop_
_space_group_symop_operation_xyz
'x,y,z'
loop_
_atom_site_label
_atom_site_fract_x
_atom_site_fract_y
_atom_site_fract_z
Pm1 0.163 0.337 0.000
Pm2 0.337 0.837 0.000
Pm3 0.663 0.163 0.000
Pm4 0.837 0.663 0.000
Pr1 0.000 0.000 0.500
Pr2 0.500 0.500 0.500
Pt1 0.132 0.632 0.500
Pt2 0.368 0.132 0.500
Pt3 0.632 0.868 0.500
Pt4 0.868 0.368 0.500